Record 1
Below is Li3H2Pd3 after structural relaxation, with properties calculated at the PBE level.

**Excess energy over the best structure of this formula in the dataset**: 3 meV per atom

Cell and atoms, written as CIF:
```
data_Li3H2Pd3
_cell_length_a 5.108
_cell_length_b 5.108
_cell_length_c 13.468
_cell_angle_alpha 90.00
_cell_angle_beta 90.00
_cell_angle_gamma 147.81
_space_group_name_H-M_alt 'P 1'
_space_group_IT_number 1
loop_
_space_group_symop_operation_xyz
'x,y,z'
loop_
_atom_site_label
_atom_site_type_symbol
_atom_site_fract_x
_atom_site_fract_y
_atom_site_fract_z
_atom_site_occupancy
Li1 Li 0.011 0.989 0.750 1
Li2 Li 0.357 0.643 0.088 1
Li3 Li 0.357 0.643 0.412 1
Li4 Li 0.643 0.357 0.588 1
Li5 Li 0.643 0.357 0.912 1
Li6 Li 0.989 0.011 0.250 1
H1 H 0.298 0.702 0.618 1
H2 H 0.298 0.702 0.882 1
H3 H 0.702 0.298 0.118 1
H4 H 0.702 0.298 0.382 1
Pd1 Pd 0.094 0.906 0.078 1
Pd2 Pd 0.094 0.906 0.422 1
Pd3 Pd 0.278 0.722 0.750 1
Pd4 Pd 0.722 0.278 0.250 1
Pd5 Pd 0.906 0.094 0.578 1
Pd6 Pd 0.906 0.094 0.922 1
```

Record 2
Below is LiHPd after structural relaxation, with properties calculated at the PBE level.

**Excess energy over the best structure of this formula in the dataset**: 113 meV per atom

Cell and atoms, written as CIF:
```
data_LiHPd
_cell_length_a 4.795
_cell_length_b 4.795
_cell_length_c 4.795
_cell_angle_alpha 146.28
_cell_angle_beta 146.28
_cell_angle_gamma 48.43
_space_group_name_H-M_alt 'P 1'
_space_group_IT_number 1
loop_
_space_group_symop_operation_xyz
'x,y,z'
loop_
_atom_site_label
_atom_site_type_symbol
_atom_site_fract_x
_atom_site_fract_y
_atom_site_fract_z
_atom_site_occupancy
Li1 Li 0.000 0.000 0.000 1
H1 H 0.771 0.771 0.000 1
Pd1 Pd 0.287 0.287 0.000 1
```

Record 3
Below is LiHPd3 after structural relaxation, with properties calculated at the PBE level.

**Excess energy over the best structure of this formula in the dataset**: 214 meV per atom

Cell and atoms, written as CIF:
```
data_LiHPd3
_cell_length_a 4.745
_cell_length_b 4.745
_cell_length_c 4.745
_cell_angle_alpha 114.05
_cell_angle_beta 114.05
_cell_angle_gamma 114.05
_space_group_name_H-M_alt 'P 1'
_space_group_IT_number 1
loop_
_space_group_symop_operation_xyz
'x,y,z'
loop_
_atom_site_label
_atom_site_type_symbol
_atom_site_fract_x
_atom_site_fract_y
_atom_site_fract_z
_atom_site_occupancy
Li1 Li 0.000 0.000 0.000 1
H1 H 0.497 0.497 0.497 1
Pd1 Pd 0.381 0.381 0.770 1
Pd2 Pd 0.381 0.770 0.381 1
Pd3 Pd 0.770 0.381 0.381 1
```

Record 4
Below is Li3H3Pd after structural relaxation, with properties calculated at the PBE level.

**Excess energy over the best structure of this formula in the dataset**: 25 meV per atom

Cell and atoms, written as CIF:
```
data_Li3H3Pd
_cell_length_a 5.278
_cell_length_b 5.278
_cell_length_c 5.312
_cell_angle_alpha 92.64
_cell_angle_beta 92.64
_cell_angle_gamma 112.56
_space_group_name_H-M_alt 'P 1'
_space_group_IT_number 1
loop_
_space_group_symop_operation_xyz
'x,y,z'
loop_
_atom_site_label
_atom_site_type_symbol
_atom_site_fract_x
_atom_site_fract_y
_atom_site_fract_z
_atom_site_occupancy
Li1 Li 0.176 0.824 0.000 1
Li2 Li 0.260 0.740 0.500 1
Li3 Li 0.372 0.372 0.167 1
Li4 Li 0.628 0.628 0.833 1
Li5 Li 0.740 0.260 0.500 1
Li6 Li 0.824 0.176 0.000 1
H1 H 0.105 0.105 0.321 1
H2 H 0.163 0.490 0.805 1
H3 H 0.490 0.163 0.805 1
H4 H 0.510 0.837 0.195 1
H5 H 0.837 0.510 0.195 1
H6 H 0.895 0.895 0.679 1
Pd1 Pd 0.207 0.207 0.665 1
Pd2 Pd 0.793 0.793 0.335 1
```

Record 5
Below is LiHPd3 after structural relaxation, with properties calculated at the PBE level.

**Excess energy over the best structure of this formula in the dataset**: 121 meV per atom

Cell and atoms, written as CIF:
```
data_LiHPd3
_cell_length_a 6.999
_cell_length_b 4.985
_cell_length_c 7.797
_cell_angle_alpha 90.00
_cell_angle_beta 116.06
_cell_angle_gamma 90.00
_space_group_name_H-M_alt 'P 1'
_space_group_IT_number 1
loop_
_space_group_symop_operation_xyz
'x,y,z'
loop_
_atom_site_label
_atom_site_type_symbol
_atom_site_fract_x
_atom_site_fract_y
_atom_site_fract_z
_atom_site_occupancy
Li1 Li 0.091 0.176 0.096 1
Li2 Li 0.091 0.324 0.596 1
Li3 Li 0.909 0.676 0.404 1
Li4 Li 0.909 0.824 0.904 1
H1 H 0.437 0.741 0.366 1
H2 H 0.437 0.759 0.866 1
H3 H 0.563 0.241 0.134 1
H4 H 0.563 0.259 0.634 1
Pd1 Pd 0.146 0.617 0.244 1
Pd2 Pd 0.146 0.883 0.744 1
Pd3 Pd 0.293 0.083 0.453 1
Pd4 Pd 0.293 0.417 0.953 1
Pd5 Pd 0.433 0.589 0.644 1
Pd6 Pd 0.433 0.911 0.144 1
Pd7 Pd 0.567 0.089 0.856 1
Pd8 Pd 0.567 0.411 0.356 1
Pd9 Pd 0.707 0.583 0.047 1
Pd10 Pd 0.707 0.917 0.547 1
Pd11 Pd 0.854 0.117 0.256 1
Pd12 Pd 0.854 0.383 0.756 1
```

Record 6
Below is Li3H2Pd5 after structural relaxation, with properties calculated at the PBE level.

**Total energy**: -4.18 eV/atom

Cell and atoms, written as CIF:
```
data_Li3H2Pd5
_cell_length_a 7.342
_cell_length_b 7.342
_cell_length_c 7.342
_cell_angle_alpha 114.37
_cell_angle_beta 83.10
_cell_angle_gamma 135.03
_space_group_name_H-M_alt 'P 1'
_space_group_IT_number 1
loop_
_space_group_symop_operation_xyz
'x,y,z'
loop_
_atom_site_label
_atom_site_type_symbol
_atom_site_fract_x
_atom_site_fract_y
_atom_site_fract_z
_atom_site_occupancy
Li1 Li 0.136 0.741 0.878 1
Li2 Li 0.250 0.250 0.000 1
Li3 Li 0.364 0.241 0.605 1
Li4 Li 0.636 0.759 0.395 1
Li5 Li 0.750 0.750 0.000 1
Li6 Li 0.864 0.259 0.122 1
H1 H 0.139 0.032 0.171 1
H2 H 0.361 0.532 0.894 1
H3 H 0.639 0.468 0.106 1
H4 H 0.861 0.968 0.829 1
Pd1 Pd 0.006 0.250 0.756 1
Pd2 Pd 0.114 0.254 0.368 1
Pd3 Pd 0.250 0.750 0.500 1
Pd4 Pd 0.386 0.754 0.141 1
Pd5 Pd 0.494 0.250 0.244 1
Pd6 Pd 0.506 0.750 0.756 1
Pd7 Pd 0.614 0.246 0.859 1
Pd8 Pd 0.750 0.250 0.500 1
Pd9 Pd 0.886 0.746 0.632 1
Pd10 Pd 0.994 0.750 0.244 1
```

Record 7
Below is LiHPd3 after structural relaxation, with properties calculated at the PBE level.

**Excess energy over the best structure of this formula in the dataset**: 146 meV per atom

Cell and atoms, written as CIF:
```
data_LiHPd3
_cell_length_a 7.167
_cell_length_b 7.167
_cell_length_c 5.342
_cell_angle_alpha 101.99
_cell_angle_beta 101.99
_cell_angle_gamma 70.91
_space_group_name_H-M_alt 'P 1'
_space_group_IT_number 1
loop_
_space_group_symop_operation_xyz
'x,y,z'
loop_
_atom_site_label
_atom_site_type_symbol
_atom_site_fract_x
_atom_site_fract_y
_atom_site_fract_z
_atom_site_occupancy
Li1 Li 0.139 0.861 0.750 1
Li2 Li 0.171 0.829 0.250 1
Li3 Li 0.829 0.171 0.750 1
Li4 Li 0.861 0.139 0.250 1
H1 H 0.330 0.486 0.229 1
H2 H 0.486 0.330 0.729 1
H3 H 0.514 0.670 0.271 1
H4 H 0.670 0.514 0.771 1
Pd1 Pd 0.109 0.548 0.363 1
Pd2 Pd 0.142 0.213 0.019 1
Pd3 Pd 0.213 0.142 0.519 1
Pd4 Pd 0.280 0.505 0.887 1
Pd5 Pd 0.452 0.891 0.137 1
Pd6 Pd 0.495 0.720 0.613 1
Pd7 Pd 0.505 0.280 0.387 1
Pd8 Pd 0.548 0.109 0.863 1
Pd9 Pd 0.720 0.495 0.113 1
Pd10 Pd 0.787 0.858 0.481 1
Pd11 Pd 0.858 0.787 0.981 1
Pd12 Pd 0.891 0.452 0.637 1
```

Record 8
Below is Li2H4Pd after structural relaxation, with properties calculated at the PBE level.

**Excess energy over the best structure of this formula in the dataset**: 0 meV per atom

Cell and atoms, written as CIF:
```
data_Li2H4Pd
_cell_length_a 5.552
_cell_length_b 5.552
_cell_length_c 5.552
_cell_angle_alpha 142.64
_cell_angle_beta 142.64
_cell_angle_gamma 53.86
_space_group_name_H-M_alt 'P 1'
_space_group_IT_number 1
loop_
_space_group_symop_operation_xyz
'x,y,z'
loop_
_atom_site_label
_atom_site_type_symbol
_atom_site_fract_x
_atom_site_fract_y
_atom_site_fract_z
_atom_site_occupancy
Li1 Li 0.137 0.137 0.000 1
Li2 Li 0.863 0.863 0.000 1
H1 H 0.000 0.500 0.500 1
H2 H 0.328 0.328 0.000 1
H3 H 0.500 0.000 0.500 1
H4 H 0.672 0.672 0.000 1
Pd1 Pd 0.500 0.500 0.000 1
```

Record 9
Below is Li2H3Pd2 after structural relaxation, with properties calculated at the PBE level.

**Excess energy over the best structure of this formula in the dataset**: 36 meV per atom

Cell and atoms, written as CIF:
```
data_Li2H3Pd2
_cell_length_a 5.370
_cell_length_b 5.370
_cell_length_c 4.652
_cell_angle_alpha 113.22
_cell_angle_beta 113.22
_cell_angle_gamma 32.08
_space_group_name_H-M_alt 'P 1'
_space_group_IT_number 1
loop_
_space_group_symop_operation_xyz
'x,y,z'
loop_
_atom_site_label
_atom_site_type_symbol
_atom_site_fract_x
_atom_site_fract_y
_atom_site_fract_z
_atom_site_occupancy
Li1 Li 0.119 0.119 0.293 1
Li2 Li 0.881 0.881 0.707 1
H1 H 0.219 0.219 0.772 1
H2 H 0.500 0.500 0.000 1
H3 H 0.781 0.781 0.228 1
Pd1 Pd 0.380 0.380 0.200 1
Pd2 Pd 0.620 0.620 0.800 1
```

Record 10
Below is Li5H5Pd2 after structural relaxation, with properties calculated at the PBE level.

**Total energy**: -3.44 eV/atom

Cell and atoms, written as CIF:
```
data_Li5H5Pd2
_cell_length_a 4.830
_cell_length_b 4.830
_cell_length_c 8.429
_cell_angle_alpha 106.35
_cell_angle_beta 106.35
_cell_angle_gamma 36.21
_space_group_name_H-M_alt 'P 1'
_space_group_IT_number 1
loop_
_space_group_symop_operation_xyz
'x,y,z'
loop_
_atom_site_label
_atom_site_type_symbol
_atom_site_fract_x
_atom_site_fract_y
_atom_site_fract_z
_atom_site_occupancy
Li1 Li 0.000 0.000 0.000 1
Li2 Li 0.147 0.147 0.548 1
Li3 Li 0.234 0.234 0.857 1
Li4 Li 0.766 0.766 0.143 1
Li5 Li 0.853 0.853 0.452 1
H1 H 0.151 0.151 0.297 1
H2 H 0.371 0.371 0.087 1
H3 H 0.500 0.500 0.500 1
H4 H 0.629 0.629 0.913 1
H5 H 0.849 0.849 0.703 1
Pd1 Pd 0.466 0.466 0.721 1
Pd2 Pd 0.534 0.534 0.279 1
```

Please write out number 5 again, unchanged.
Below is LiHPd3 after structural relaxation, with properties calculated at the PBE level.

**Excess energy over the best structure of this formula in the dataset**: 121 meV per atom

Cell and atoms, written as CIF:
```
data_LiHPd3
_cell_length_a 6.999
_cell_length_b 4.985
_cell_length_c 7.797
_cell_angle_alpha 90.00
_cell_angle_beta 116.06
_cell_angle_gamma 90.00
_space_group_name_H-M_alt 'P 1'
_space_group_IT_number 1
loop_
_space_group_symop_operation_xyz
'x,y,z'
loop_
_atom_site_label
_atom_site_type_symbol
_atom_site_fract_x
_atom_site_fract_y
_atom_site_fract_z
_atom_site_occupancy
Li1 Li 0.091 0.176 0.096 1
Li2 Li 0.091 0.324 0.596 1
Li3 Li 0.909 0.676 0.404 1
Li4 Li 0.909 0.824 0.904 1
H1 H 0.437 0.741 0.366 1
H2 H 0.437 0.759 0.866 1
H3 H 0.563 0.241 0.134 1
H4 H 0.563 0.259 0.634 1
Pd1 Pd 0.146 0.617 0.244 1
Pd2 Pd 0.146 0.883 0.744 1
Pd3 Pd 0.293 0.083 0.453 1
Pd4 Pd 0.293 0.417 0.953 1
Pd5 Pd 0.433 0.589 0.644 1
Pd6 Pd 0.433 0.911 0.144 1
Pd7 Pd 0.567 0.089 0.856 1
Pd8 Pd 0.567 0.411 0.356 1
Pd9 Pd 0.707 0.583 0.047 1
Pd10 Pd 0.707 0.917 0.547 1
Pd11 Pd 0.854 0.117 0.256 1
Pd12 Pd 0.854 0.383 0.756 1
```